# 1
Below is Ba2CrSi at its PBEsol-relaxed geometry, with properties calculated at the SCAN level.

* E_tot: -26.68 eV per atom
* energy relative to the elements, uncorrected: 0.1944 eV per atom
* SG: P4/mmm, No. 123

Unit cell a=4.497 b=5.219 c=5.219 alpha=90.01 beta=90.00 gamma=90.00
Fractional positions:
Ba (0.000, 0.500, 0.000)
Ba (0.000, 0.000, 0.500)
Cr (0.500, 0.000, 0.000)
Si (0.500, 0.500, 0.500)

# 2
Below is K4PH5S3O16 at its PBEsol-relaxed geometry, with properties calculated at the SCAN level.

* E_tot: -8.36 eV per atom
* SG: P1, No. 1

Unit cell a=7.217 b=7.509 c=7.566 alpha=71.04 beta=87.54 gamma=85.57
Fractional positions:
K (0.169, 0.182, 0.339)
K (0.472, 0.263, 0.776)
K (0.532, 0.742, 0.222)
K (0.832, 0.811, 0.659)
P (0.964, 0.276, 0.809)
H (0.012, 0.476, 0.520)
H (0.128, 0.055, 0.043)
H (0.243, 0.584, 0.976)
H (0.753, 0.421, 0.021)
H (0.869, 0.981, 0.924)
S (0.033, 0.724, 0.198)
S (0.368, 0.780, 0.725)
S (0.630, 0.223, 0.274)
O (0.063, 0.346, 0.613)
O (0.125, 0.196, 0.951)
O (0.152, 0.567, 0.166)
O (0.151, 0.881, 0.189)
O (0.196, 0.894, 0.662)
O (0.311, 0.578, 0.855)
O (0.522, 0.141, 0.162)
O (0.479, 0.735, 0.577)
O (0.518, 0.263, 0.424)
O (0.478, 0.858, 0.838)
O (0.681, 0.424, 0.145)
O (0.804, 0.111, 0.337)
O (0.846, 0.108, 0.813)
O (0.842, 0.434, 0.843)
O (0.887, 0.794, 0.055)
O (0.941, 0.654, 0.385)

# 3
Below is TlCrTc at its PBEsol-relaxed geometry, with properties calculated at the SCAN level.

* E_tot: -40.92 eV per atom
* calculated formation energy: 1017 meV per atom
* SG: F-43m, No. 216

Unit cell a=4.396 b=4.396 c=4.396 alpha=60.00 beta=60.00 gamma=60.00
Fractional positions:
Cr (0.000, 0.000, 0.000)
Tc (0.500, 0.500, 0.500)
Tl (0.250, 0.250, 0.250)

# 4
Below is MgTi2ZnO6 at its PBEsol-relaxed geometry, with properties calculated at the SCAN level.

* E_tot: -11.75 eV per atom
* energy relative to the elements, uncorrected: -2.9533 eV per atom
* SG: R3, No. 146

Unit cell a=5.060 b=5.060 c=5.472 alpha=62.46 beta=62.46 gamma=60.00
Fractional positions:
Mg (0.645, 0.645, 0.065)
Ti (0.855, 0.855, 0.434)
Ti (0.146, 0.146, 0.562)
Zn (0.360, 0.360, 0.919)
O (0.046, 0.775, 0.742)
O (0.775, 0.437, 0.742)
O (0.437, 0.046, 0.742)
O (0.948, 0.226, 0.265)
O (0.226, 0.561, 0.265)
O (0.561, 0.948, 0.265)

# 5
Below is ReOsCl2 at its PBEsol-relaxed geometry, with properties calculated at the SCAN level.

* E_tot: -38.41 eV per atom
* energy relative to the elements, uncorrected: 1.3229 eV per atom
* SG: F-43m, No. 216

Unit cell a=4.408 b=4.408 c=4.408 alpha=60.00 beta=60.00 gamma=60.00
Fractional positions:
Re (0.250, 0.250, 0.250)
Os (0.500, 0.500, 0.500)
Cl (0.000, 0.000, 0.000)
Cl (0.750, 0.750, 0.750)

# 6
Below is Li2ScAu at its PBEsol-relaxed geometry, with properties calculated at the SCAN level.

* E_tot: -22.46 eV per atom
* calculated formation energy: -415 meV per atom
* SG: Fm-3m, No. 225

Unit cell a=4.458 b=4.458 c=4.458 alpha=60.00 beta=60.00 gamma=60.00
Fractional positions:
Au (0.000, 0.000, 0.000)
Li (0.250, 0.250, 0.250)
Li (0.750, 0.750, 0.750)
Sc (0.500, 0.500, 0.500)

# 7
Below is NaBiSbI2 at its PBEsol-relaxed geometry, with properties calculated at the SCAN level.

* E_tot: -38.36 eV per atom
* energy relative to the elements, uncorrected: 0.3497 eV per atom
* SG: P4/mmm, No. 123

Unit cell a=5.441 b=5.441 c=5.714 alpha=90.00 beta=90.00 gamma=90.00
Fractional positions:
I (0.000, 0.500, 0.000)
I (0.500, 0.000, 0.000)
Sb (0.000, 0.000, 0.500)
Bi (0.500, 0.500, 0.500)
Na (0.000, 0.000, 0.000)

# 8
Below is Zr5Tc3 at its PBEsol-relaxed geometry, with properties calculated at the SCAN level.

* E_tot: -32.59 eV per atom
* calculated formation energy: -254 meV per atom
* SG: Cmmm, No. 65

Unit cell a=4.582 b=5.776 c=5.776 alpha=108.65 beta=90.00 gamma=90.00
Fractional positions:
Tc (0.000, 0.500, 0.500)
Tc (0.500, 0.757, 0.243)
Tc (0.500, 0.243, 0.757)
Zr (0.000, 0.000, 0.000)
Zr (0.000, 0.500, 0.000)
Zr (0.000, 0.000, 0.500)
Zr (0.500, 0.731, 0.731)
Zr (0.500, 0.269, 0.269)

# 9
Below is SrZnMo2 at its PBEsol-relaxed geometry, with properties calculated at the SCAN level.

* E_tot: -25.51 eV per atom
* calculated formation energy: 881 meV per atom
* SG: P2/m, No. 10

Unit cell a=2.848 b=5.095 c=5.163 alpha=90.00 beta=90.00 gamma=94.32
Fractional positions:
Mo (0.375, 0.250, 0.000)
Mo (0.625, 0.750, 0.000)
Sr (0.000, 0.500, 0.500)
Zn (0.500, 0.000, 0.500)

# 10
Below is Tb7RhI12 at its PBEsol-relaxed geometry, with properties calculated at the SCAN level.

* E_tot: -41.48 eV per atom
* energy relative to the elements, uncorrected: -1.3821 eV per atom
* SG: R-3, No. 148

Unit cell a=9.516 b=9.516 c=9.516 alpha=107.37 beta=107.37 gamma=107.37
Fractional positions:
Tb (0.500, 0.500, 0.500)
Tb (0.969, 0.694, 0.898)
Tb (0.694, 0.898, 0.969)
Tb (0.898, 0.969, 0.694)
Tb (0.031, 0.306, 0.102)
Tb (0.306, 0.102, 0.031)
Tb (0.102, 0.031, 0.306)
Rh (0.000, 0.000, 0.000)
I (0.844, 0.607, 0.525)
I (0.607, 0.525, 0.844)
I (0.525, 0.844, 0.607)
I (0.156, 0.393, 0.475)
I (0.393, 0.475, 0.156)
I (0.475, 0.156, 0.393)
I (0.231, 0.074, 0.678)
I (0.074, 0.678, 0.231)
I (0.678, 0.231, 0.074)
I (0.769, 0.926, 0.322)
I (0.926, 0.322, 0.769)
I (0.322, 0.769, 0.926)

# 11
Below is KTcBr2 at its PBEsol-relaxed geometry, with properties calculated at the SCAN level.

* E_tot: -20.62 eV per atom
* energy relative to the elements, uncorrected: -0.0423 eV per atom
* SG: R-3m, No. 166

Unit cell a=3.927 b=3.927 c=9.029 alpha=77.44 beta=77.44 gamma=60.00
Fractional positions:
K (0.000, 0.000, 0.000)
Tc (0.500, 0.500, 0.500)
Br (0.879, 0.879, 0.363)
Br (0.121, 0.121, 0.637)

# 12
Below is K3TiI at its PBEsol-relaxed geometry, with properties calculated at the SCAN level.

* E_tot: -15.20 eV per atom
* energy relative to the elements, uncorrected: 0.3474 eV per atom
* SG: Pm-3m, No. 221

Unit cell a=6.497 b=6.497 c=6.497 alpha=90.00 beta=90.00 gamma=90.00
Fractional positions:
I (0.500, 0.500, 0.500)
K (0.000, 0.500, 0.000)
K (0.000, 0.000, 0.500)
K (0.500, 0.000, 0.000)
Ti (0.000, 0.000, 0.000)

# 13
Below is Co2NiO4 at its PBEsol-relaxed geometry, with properties calculated at the SCAN level.

* E_tot: -12.21 eV per atom
* energy relative to the elements, uncorrected: -1.3916 eV per atom
* SG: Imma, No. 74

Unit cell a=5.662 b=5.662 c=5.662 alpha=90.03 beta=59.98 gamma=120.02
Fractional positions:
Co (0.250, 0.121, 0.129)
Co (0.500, 0.000, 0.500)
Co (0.000, 0.500, 0.500)
Co (0.750, 0.879, 0.871)
Ni (0.500, 0.500, 0.500)
Ni (0.000, 0.500, 0.000)
O (0.516, 0.252, 0.263)
O (0.524, 0.257, 0.719)
O (0.984, 0.721, 0.263)
O (0.976, 0.257, 0.267)
O (0.024, 0.743, 0.733)
O (0.016, 0.279, 0.737)
O (0.476, 0.743, 0.281)
O (0.484, 0.748, 0.737)

# 14
Below is Ba2OsW at its PBEsol-relaxed geometry, with properties calculated at the SCAN level.

* E_tot: -53.44 eV per atom
* calculated formation energy: 1725 meV per atom
* SG: C2/m, No. 12

Unit cell a=3.020 b=5.790 c=6.151 alpha=61.92 beta=89.84 gamma=89.66
Fractional positions:
Os (0.500, 0.000, 0.000)
Ba (0.000, 0.500, 0.500)
Ba (0.000, 0.000, 0.500)
W (0.500, 0.500, 0.000)

# 15
Below is MnPOs2 at its PBEsol-relaxed geometry, with properties calculated at the SCAN level.

* E_tot: -43.20 eV per atom
* calculated formation energy: -96 meV per atom
* SG: Immm, No. 71

Unit cell a=2.789 b=4.187 c=5.131 alpha=114.08 beta=105.77 gamma=90.00
Fractional positions:
Mn (0.000, 0.500, 0.000)
Os (0.792, 0.792, 0.584)
Os (0.208, 0.208, 0.416)
P (0.500, 0.000, 0.000)

# 16
Below is BaICl2 at its PBEsol-relaxed geometry, with properties calculated at the SCAN level.

* E_tot: -24.71 eV per atom
* energy relative to the elements, uncorrected: -1.6456 eV per atom
* SG: I-42d, No. 122

Unit cell a=7.197 b=7.197 c=7.197 alpha=104.67 beta=104.67 gamma=119.56
Fractional positions:
I (0.750, 0.250, 0.500)
I (0.500, 0.500, 0.000)
Ba (0.250, 0.750, 0.500)
Ba (0.000, 0.000, 0.000)
Cl (0.919, 0.875, 0.544)
Cl (0.331, 0.375, 0.456)
Cl (0.625, 0.081, 0.956)
Cl (0.125, 0.669, 0.044)

# 17
Below is Sr2CuP at its PBEsol-relaxed geometry, with properties calculated at the SCAN level.

* E_tot: -18.22 eV per atom
* calculated formation energy: -678 meV per atom
* SG: Amm2, No. 38

Unit cell a=4.156 b=4.282 c=6.097 alpha=110.56 beta=90.00 gamma=90.00
Fractional positions:
Sr (0.500, 0.982, 0.964)
Sr (0.000, 0.261, 0.522)
Cu (0.000, 0.571, 0.142)
P (0.500, 0.686, 0.372)

# 18
Below is CrTePt2 at its PBEsol-relaxed geometry, with properties calculated at the SCAN level.

* E_tot: -49.07 eV per atom
* energy relative to the elements, uncorrected: -0.0677 eV per atom
* SG: P4mm, No. 99

Unit cell a=3.515 b=3.515 c=5.484 alpha=90.00 beta=90.00 gamma=90.00
Fractional positions:
Cr (0.500, 0.500, 0.779)
Pt (0.000, 0.000, 0.986)
Pt (0.500, 0.500, 0.246)
Te (0.000, 0.000, 0.489)

# 19
Below is CaYSi2 at its PBEsol-relaxed geometry, with properties calculated at the SCAN level.

* E_tot: -14.76 eV per atom
* energy relative to the elements, uncorrected: -0.3788 eV per atom
* SG: Cmmm, No. 65

Unit cell a=3.229 b=5.166 c=5.166 alpha=102.45 beta=90.00 gamma=90.00
Fractional positions:
Ca (0.500, 0.500, 0.500)
Si (0.000, 0.500, 0.000)
Si (0.000, 0.000, 0.500)
Y (0.500, 0.000, 0.000)

# 20
Below is LiZnGe at its PBEsol-relaxed geometry, with properties calculated at the SCAN level.

* E_tot: -11.94 eV per atom
* calculated formation energy: -274 meV per atom
* SG: P-6m2, No. 187

Unit cell a=4.219 b=4.219 c=9.232 alpha=90.00 beta=90.00 gamma=120.00
Fractional positions:
Li (0.000, 0.000, 0.833)
Li (0.000, 0.000, 0.500)
Li (0.000, 0.000, 0.167)
Zn (0.333, 0.667, 0.293)
Zn (0.333, 0.667, 0.707)
Zn (0.667, 0.333, 0.000)
Ge (0.667, 0.333, 0.638)
Ge (0.667, 0.333, 0.362)
Ge (0.333, 0.667, 0.000)

# 21
Below is ScRe2CO at its PBEsol-relaxed geometry, with properties calculated at the SCAN level.

* E_tot: -34.20 eV per atom
* energy relative to the elements, uncorrected: 0.3497 eV per atom
* SG: P4/mmm, No. 123

Unit cell a=3.886 b=3.886 c=4.732 alpha=90.00 beta=90.00 gamma=90.00
Fractional positions:
Sc (0.000, 0.000, 0.500)
Re (0.000, 0.500, 0.000)
Re (0.500, 0.000, 0.000)
C (0.000, 0.000, 0.000)
O (0.500, 0.500, 0.500)

# 22
Below is Rb2Cr4CuH4O16 at its PBEsol-relaxed geometry, with properties calculated at the SCAN level.

* E_tot: -10.69 eV per atom
* SG: P-1, No. 2

Unit cell a=7.827 b=7.398 c=7.784 alpha=92.27 beta=122.98 gamma=90.55
Fractional positions:
O (0.491, 0.231, 0.441)
O (0.851, 0.716, 0.941)
O (0.774, 0.377, 0.985)
O (0.585, 0.500, 0.266)
O (0.868, 0.944, 0.689)
O (0.149, 0.284, 0.059)
O (0.324, 0.969, 0.125)
O (0.140, 0.575, 0.345)
O (0.415, 0.500, 0.734)
O (0.132, 0.056, 0.311)
O (0.676, 0.031, 0.875)
O (0.226, 0.623, 0.015)
O (0.785, 0.195, 0.353)
O (0.215, 0.805, 0.647)
O (0.509, 0.769, 0.559)
O (0.860, 0.425, 0.655)
Cr (0.687, 0.342, 0.429)
Cr (0.731, 0.869, 0.769)
Cr (0.313, 0.658, 0.571)
Cr (0.269, 0.131, 0.231)
Cu (0.000, 0.500, 0.000)
Rb (0.799, 0.821, 0.275)
Rb (0.201, 0.179, 0.725)
H (0.639, 0.432, 0.886)
H (0.755, 0.243, 0.947)
H (0.361, 0.568, 0.114)
H (0.245, 0.757, 0.053)

# 23
Below is CeAl4Ge2Au at its PBEsol-relaxed geometry, with properties calculated at the SCAN level.

* E_tot: -23.43 eV per atom
* calculated formation energy: -567 meV per atom
* SG: R-3m, No. 166

Unit cell a=4.219 b=4.219 c=10.598 alpha=78.52 beta=78.52 gamma=60.00
Fractional positions:
Ge (0.223, 0.223, 0.332)
Ge (0.777, 0.777, 0.668)
Au (0.000, 0.000, 0.000)
Al (0.084, 0.084, 0.749)
Al (0.308, 0.308, 0.077)
Al (0.916, 0.916, 0.251)
Al (0.692, 0.692, 0.923)
Ce (0.500, 0.500, 0.500)

# 24
Below is Hf2CoGe2 at its PBEsol-relaxed geometry, with properties calculated at the SCAN level.

* E_tot: -36.76 eV per atom
* calculated formation energy: -599 meV per atom
* SG: P4/mbm, No. 127

Unit cell a=4.152 b=6.199 c=6.199 alpha=90.00 beta=90.00 gamma=90.00
Fractional positions:
Co (0.000, 0.000, 0.000)
Co (0.000, 0.500, 0.500)
Ge (0.000, 0.357, 0.857)
Ge (0.000, 0.857, 0.643)
Ge (0.000, 0.643, 0.143)
Ge (0.000, 0.143, 0.357)
Hf (0.500, 0.169, 0.669)
Hf (0.500, 0.669, 0.831)
Hf (0.500, 0.831, 0.331)
Hf (0.500, 0.331, 0.169)